[1]
{"formula": "ZnAg2Pb", "functional": "SCAN", "state": "PBEsol geometry", "lattice_angstrom": [[-1.622, 2.515, 4.675], [1.622, -2.515, 4.675], [1.622, 2.515, -4.675]], "species": ["Zn", "Ag", "Ag", "Pb"], "frac_coords": [[0.000, 0.000, 0.000], [0.225, 0.725, 0.500], [0.775, 0.275, 0.500], [0.500, 0.500, 0.000]], "crystal_system": "orthorhombic", "vol_a3_per_atom": 19.07, "e_form_ev_per_fu": 0.64}

=====

[2]
{"formula": "Zn2AgPb", "functional": "SCAN", "state": "PBEsol geometry", "lattice_angstrom": [[2.930, -4.843, 0.000], [2.930, 4.843, 0.000], [-1.787, 0.000, 2.756]], "species": ["Zn", "Zn", "Ag", "Pb"], "frac_coords": [[0.000, 0.500, 0.000], [0.500, 0.000, 0.000], [0.000, 0.000, 0.000], [0.500, 0.500, 0.000]], "crystal_system": "monoclinic", "vol_a3_per_atom": 19.55, "e_form_ev_per_fu": 1.04}

=====

[3]
{"formula": "ZnAg2Pb", "functional": "SCAN", "state": "PBEsol geometry", "lattice_angstrom": [[4.583, -1.528, 0.000], [4.583, 1.528, 0.000], [-1.207, 0.000, 5.506]], "species": ["Zn", "Ag", "Ag", "Pb"], "frac_coords": [[0.000, 0.000, 0.000], [0.265, 0.265, 0.794], [0.735, 0.735, 0.206], [0.500, 0.500, 0.500]], "crystal_system": "monoclinic", "vol_a3_per_atom": 19.27, "e_form_ev_per_fu": 0.58}